# Na4Sm3VO8 PBE with a Hubbard U relaxed
# D(E_F): 0.0 states/eV/f.u.
# calculated volume: 454 Å³/cell
# crystal system: monoclinic
# total magnetic moment: 2.0 μB per formula unit
# energy: -211.105 eV/cell
data_Na4Sm3VO8
_chemical_formula_sum 'Na8 Sm6 V2 O16'
_symmetry_space_group_name_H-M 'C 1 2/m 1'
_symmetry_Int_Tables_number 12
_symmetry_space_group_name_Hall '-C 2y'
_cell_length_a 11.870
_cell_length_b 6.834
_cell_length_c 6.847
_cell_angle_alpha 90.00
_cell_angle_beta 125.16
_cell_angle_gamma 90.00
loop_
_atom_site_label
_atom_site_type_symbol
_atom_site_fract_x
_atom_site_fract_y
_atom_site_fract_z
Na1 Na 0.000 0.000 0.000
Na2 Na 0.000 0.500 0.000
Na3 Na 0.250 0.250 0.500
Sm1 Sm 0.000 0.000 0.500
Sm2 Sm 0.250 0.250 0.000
V1 V 0.000 0.500 0.500
O1 O 0.008 0.272 0.720
O2 O 0.237 0.500 0.753
O3 O 0.239 0.000 0.759